{"formula": "KNa2Pb", "functional": "GGA-PBE", "state": "optimized geometry", "lattice": [[-2.9878, -1.9834, -2.2269], [0.8599, -3.5914, 2.0450], [-5.7161, 1.9894, 5.8972]], "species": ["Pb", "Na", "Na", "K"], "fractional_positions": [[0.5000, 0.5000, 0.0000], [0.0000, 0.0000, 0.8136], [0.0000, 0.0000, 0.1864], [0.5000, 0.5000, 0.5000]], "delta_e_f_ev_per_atom": -0.051, "magmom_total_mub_per_cell": 0.0}

{"formula": "TlTePbCl", "functional": "GGA-PBE", "state": "optimized geometry", "lattice": [[-4.5081, -1.6120, -2.8082], [0.0525, -4.7755, -2.8284], [-2.9886, -4.3200, 1.7924]], "species": ["Pb", "Tl", "Te", "Cl"], "fractional_positions": [[0.0000, 0.0000, 0.0000], [0.5000, 0.5000, 0.5000], [0.2500, 0.2500, 0.2500], [0.7500, 0.7500, 0.7500]], "e_form_raw_mev_per_atom": -550, "magmom_total_mub_per_cell": 0.0}

{"formula": "SmPuTl2", "functional": "GGA-PBE", "state": "optimized geometry", "lattice": [[5.4500, 0.0000, 0.0000], [2.7250, 4.7199, 0.0000], [2.7250, 1.5733, 4.4499]], "species": ["Tl", "Tl", "Sm", "Pu"], "fractional_positions": [[0.2500, 0.2500, 0.2500], [0.7500, 0.7500, 0.7500], [0.0000, 0.0000, 0.0000], [0.5000, 0.5000, 0.5000]], "delta_e_f_ev_per_atom": -0.153, "magmom_total_mub_per_cell": 6.3}

{"formula": "Nd4Y8Ho3", "functional": "GGA-PBE", "state": "optimized geometry", "lattice": [[-1.9674, -6.1829, -2.0028], [6.4433, 3.5606, -5.7607], [6.7292, -0.4921, 6.4695]], "species": ["Nd", "Nd", "Nd", "Nd", "Y", "Y", "Y", "Y", "Y", "Y", "Y", "Y", "Ho", "Ho", "Ho"], "fractional_positions": [[0.5000, 0.0000, 0.0000], [0.0000, 0.5000, 0.0000], [0.0000, 0.0000, 0.0000], [0.0000, 0.0000, 0.5000], [0.5192, 0.2664, 0.2664], [0.0000, 0.6401, 0.3599], [0.0035, 0.2704, 0.2704], [0.5000, 0.7458, 0.2542], [0.5000, 0.2542, 0.7458], [0.9965, 0.7296, 0.7296], [0.0000, 0.3599, 0.6401], [0.4808, 0.7336, 0.7336], [0.5000, 0.5000, 0.0000], [0.5000, 0.0000, 0.5000], [0.5000, 0.5000, 0.5000]], "delta_e_f_ev_per_atom": 0.367, "magmom_total_mub_per_cell": 0.7}

{"formula": "MgPaBi4", "functional": "GGA-PBE", "state": "optimized geometry", "lattice": [[-2.3592, -5.3253, -4.8360], [4.3714, -3.5108, 1.7334], [-5.6546, -4.4641, 5.2186]], "species": ["Mg", "Mg", "Pa", "Pa", "Bi", "Bi", "Bi", "Bi", "Bi", "Bi", "Bi", "Bi"], "fractional_positions": [[0.5000, 0.0000, 0.5000], [0.0000, 0.5000, 0.5000], [0.0000, 0.0000, 0.0000], [0.5000, 0.5000, 0.0000], [0.8523, 0.5119, 0.1511], [0.6477, 0.0119, 0.8489], [0.3931, 0.4406, 0.3686], [0.1069, 0.9406, 0.6314], [0.1477, 0.4881, 0.8489], [0.3523, 0.9881, 0.1511], [0.6069, 0.5594, 0.6314], [0.8931, 0.0594, 0.3686]], "delta_e_f_ev_per_atom": 0.053, "magmom_total_mub_per_cell": 0.9}

{"formula": "Ge3BW", "functional": "GGA-PBE", "state": "optimized geometry", "lattice": [[-2.3137, 3.6018, 0.2899], [-1.2958, -1.1483, 3.9259], [3.3732, 2.0294, 1.7069]], "species": ["Ge", "Ge", "Ge", "B", "W"], "fractional_positions": [[0.0000, 0.5000, 0.0000], [0.0000, 0.0000, 0.5000], [0.5000, 0.0000, 0.0000], [0.0000, 0.0000, 0.0000], [0.5000, 0.5000, 0.5000]], "delta_e_f_ev_per_atom": 1.229, "magmom_total_mub_per_cell": 0.0}